The following is a DFT calculation (PBE) of a relaxed Ti4FePb crystal.

a = 3.0113 Å, b = 3.0113 Å, c = 11.4587 Å
α = 90.00°, β = 90.00°, γ = 90.00°
Last column: nearest neighbours and their distance in Å.
Space group P4/mmm (No. 123)
Symmetry-distinct sites (fractional):
Ti 0.0000 0.0000 0.1278 [2 per cell]  4 Fe 2.58, 4 Ti 2.83
Ti 0.5000 0.5000 0.2907 [2 per cell]  8 Ti 2.83-3.01
Fe 0.5000 0.5000 0.0000 [1 per cell]  8 Ti 2.58
Pb 0.0000 0.0000 0.5000 [1 per cell]  4 Pb 3.01, 8 Ti 3.21

Calculated values
- Energy: -0.2712 Ha/atom
- Total magnetic moment: 0.0 μB/cell
- Theoretical density: 7.26 g cm⁻³
- E_form: -0.09 eV per atom